DFT (PBE) results for an optimized crystal structure of SrCaCl2.

The structure in CIF format:
```
data_SrCaCl2
_chemical_formula_sum 'Sr2 Ca2 Cl4'
_symmetry_space_group_name_H-M 'I m m m'
_symmetry_Int_Tables_number 71
_symmetry_space_group_name_Hall '-I 2 2'
_cell_length_a 3.829
_cell_length_b 7.622
_cell_length_c 9.135
_cell_angle_alpha 90.00
_cell_angle_beta 90.00
_cell_angle_gamma 90.00
loop_
_atom_site_label
_atom_site_fract_x
_atom_site_fract_y
_atom_site_fract_z
Sr1 0.000 0.000 0.000
Ca1 0.000 0.000 0.500
Cl1 0.000 0.500 0.222
```

## Properties
Uncorrected formation energy: -1512 meV per atom

=====

DFT (PBE) results for an optimized crystal structure of Cs2NaIn12Pt3.

The structure in CIF format:
```
data_Cs2NaIn12Pt3
_chemical_formula_sum 'Cs6 Na3 In36 Pt9'
_symmetry_space_group_name_H-M 'R -3 m'
_symmetry_Int_Tables_number 166
_symmetry_space_group_name_Hall '-R 3 2"'
_cell_length_a 10.3394
_cell_length_b 10.3394
_cell_length_c 20.7152
_cell_angle_alpha 90.00
_cell_angle_beta 90.00
_cell_angle_gamma 120.00
loop_
_atom_site_label
_atom_site_fract_x
_atom_site_fract_y
_atom_site_fract_z
Cs1 0.0000 0.0000 0.0966
Na1 0.0000 0.0000 0.5000
In1 0.0070 0.5035 0.1310
In2 0.1095 0.5547 0.3234
Pt1 0.0000 0.5000 0.0000
```

## Properties
Energy relative to the elements: -91 meV per atom

=====

DFT (PBE) results for an optimized crystal structure of LiCr2As.

The structure in CIF format:
```
data_LiCr2As
_chemical_formula_sum 'Li4 Cr8 As4'
_symmetry_space_group_name_H-M 'I -4 2 d'
_symmetry_Int_Tables_number 122
_symmetry_space_group_name_Hall 'I -4 2bw'
_cell_length_a 6.830
_cell_length_b 6.830
_cell_length_c 4.824
_cell_angle_alpha 90.00
_cell_angle_beta 90.00
_cell_angle_gamma 90.00
loop_
_atom_site_label
_atom_site_fract_x
_atom_site_fract_y
_atom_site_fract_z
Li1 0.000 0.000 0.000
Cr1 0.224 0.250 0.625
As1 0.000 0.000 0.500
```

## Properties
Energy relative to the elements: 527 meV per atom

=====

DFT (PBE) results for an optimized crystal structure of Tm6Co2Rh.

The structure in CIF format:
```
data_Tm6Co2Rh
_chemical_formula_sum 'Tm24 Co8 Rh4'
_symmetry_space_group_name_H-M 'I m m m'
_symmetry_Int_Tables_number 71
_symmetry_space_group_name_Hall '-I 2 2'
_cell_length_a 9.134
_cell_length_b 9.287
_cell_length_c 9.440
_cell_angle_alpha 90.00
_cell_angle_beta 90.00
_cell_angle_gamma 90.00
loop_
_atom_site_label
_atom_site_fract_x
_atom_site_fract_y
_atom_site_fract_z
Tm1 0.000 0.186 0.174
Tm2 0.178 0.235 0.500
Tm3 0.188 0.500 0.245
Co1 0.000 0.000 0.385
Co2 0.163 0.000 0.000
Rh1 0.000 0.500 0.000
Rh2 0.000 0.500 0.500
```

## Properties
Energy relative to the elements: -380 meV per atom

=====

DFT (PBE) results for an optimized crystal structure of Li2TlPdAu.

The structure in CIF format:
```
data_Li2TlPdAu
_chemical_formula_sum 'Li4 Tl2 Pd2 Au2'
_symmetry_space_group_name_H-M 'P m m a'
_symmetry_Int_Tables_number 51
_cell_length_a 5.452
_cell_length_b 6.934
_cell_length_c 4.981
_cell_angle_alpha 90.00
_cell_angle_beta 90.00
_cell_angle_gamma 90.00
loop_
_symmetry_equiv_pos_as_xyz
'x,y,z'
'-x,-y,-z'
'-x+1/2,-y,z'
'x+1/2,y,-z'
'x+1/2,-y,-z'
'-x+1/2,y,z'
'-x,y,-z'
'x,-y,z'
loop_
_atom_site_label
_atom_site_fract_x
_atom_site_fract_y
_atom_site_fract_z
Li1 0.250 0.211 0.199
Tl1 0.250 0.000 0.712
Pd1 0.000 0.500 0.000
Au1 0.250 0.500 0.518
```

## Properties
Energy relative to the elements: -228 meV per atom

=====

DFT (PBE) results for an optimized crystal structure of TeSe.

The structure in CIF format:
```
data_TeSe
_chemical_formula_sum 'Te8 Se8'
_symmetry_space_group_name_H-M 'I 4/m'
_symmetry_Int_Tables_number 87
_symmetry_space_group_name_Hall '-I 4'
_cell_length_a 10.226
_cell_length_b 10.226
_cell_length_c 5.508
_cell_angle_alpha 90.00
_cell_angle_beta 90.00
_cell_angle_gamma 90.00
loop_
_atom_site_label
_atom_site_fract_x
_atom_site_fract_y
_atom_site_fract_z
Te1 0.111 0.265 0.000
Se1 0.140 0.333 0.500
```

## Properties
Uncorrected formation energy: 78 meV per atom

=====

Number 1: N(E_F) 3.6 states/eV per cell. Number 2: N(E_F) 27.7 states/eV per cell. Number 3: N(E_F) 14.1 states/eV per cell. Number 4: N(E_F) 33.6 states/eV per cell. Number 5: N(E_F) 5.0 states/eV per cell. Number 6: N(E_F) 3.5 states/eV per cell.